Density functional theory data (PBE) for a geometry-optimized Nd6DyHo2 structure.

Cell lengths 16.482, 11.847, 6.256 Å; angles 90.00, 96.11, 90.00 degrees
Space group C2/c (No. 15)
Symmetry-distinct sites (fractional):
Nd: 0.048 0.140 0.014 x8
Nd: 0.119 0.359 0.319 x8
Nd: 0.215 0.359 0.847 x8
Dy: 0.000 0.401 0.750 x4
Ho: 0.166 0.099 0.584 x8

**M_tot**: 0.00 μB per cell
**Total energy**: -4.6246 eV per atom
**Energy relative to the elements**: 0.08 eV per atom
**Relative energy among the computed polymorphs**: 0.000 eV per atom
**DOS at the Fermi energy**: 1.37 states/eV per atom



Density functional theory data (PBE) for a geometry-optimized MoRu4 structure.

Cell lengths 4.988, 7.660, 8.524 Å; angles 90.00, 90.00, 90.00 degrees
Space group Fmmm (No. 69)
Symmetry-distinct sites (fractional):
Mo: 0.000 0.000 0.000 x4
Ru: 0.000 0.154 0.500 x8
Ru: 0.250 0.250 0.250 x8

**M_tot**: 0.00 μB per cell
**Total energy**: -8.8911 eV per atom
**Energy relative to the elements**: 0.70 eV per atom
**DOS at the Fermi energy**: 1.34 states/eV per atom



Density functional theory data (PBE) for a geometry-optimized ScTi3Ir structure.

Cell lengths 4.468, 4.468, 4.468 Å; angles 90.00, 90.00, 90.00 degrees
Space group Pm-3m (No. 221)
Symmetry-distinct sites (fractional):
Sc: 0.000 0.000 0.000 x1
Ti: 0.000 0.000 0.500 x3
Ir: 0.500 0.500 0.500 x1

**M_tot**: 0.00 μB per cell
**Total energy**: -6.5601 eV per atom
**Energy relative to the elements**: 1.22 eV per atom
**Relative energy among the computed polymorphs**: 1.043 eV per atom
**DOS at the Fermi energy**: 1.75 states/eV per atom



Density functional theory data (PBE) for a geometry-optimized CeNd4Er7 structure.

Cell lengths 6.571, 6.836, 9.055 Å; angles 84.33, 76.84, 81.33 degrees
Space group P-1 (No. 2)
Symmetry-distinct sites (fractional):
Ce: 0.000 0.000 0.000 x1
Nd: 0.168 0.613 0.309 x2
Nd: 0.357 0.186 0.717 x2
Er: 0.000 0.500 0.000 x1
Er: 0.186 0.105 0.382 x2
Er: 0.322 0.696 0.642 x2
Er: 0.489 0.248 0.049 x2

**M_tot**: 1.15 μB per cell
**Total energy**: -4.6412 eV per atom
**Energy relative to the elements**: 0.10 eV per atom
**DOS at the Fermi energy**: 1.90 states/eV per atom